# 1
A relaxed structure of TaMo2Ru. Source: the Alexandria database, functional PBE.

```
TaMo2Ru
1.0
3.167 0.000 0.000
0.000 4.412 0.000
0.000 0.000 4.557
Ta Mo Ru
1 2 1
direct
0.000 0.000 0.000
0.000 0.500 0.500
0.500 0.000 0.500
0.500 0.500 0.000
```

## Properties
* energy relative to the lowest polymorph listed for this composition: 18 meV/atom
* ΔE_f: -106.2 meV per atom
* total DFT energy (no corrections): -10.80 eV/atom
* Fermi-level density of states: 0.895 states/eV per atom


# 2
A relaxed structure of Ta2MoRu. Source: the Alexandria database, functional PBE.

```
Ta2MoRu
1.0
3.195 0.000 0.000
0.000 4.394 0.000
0.000 0.000 4.696
Ta Mo Ru
2 1 1
direct
0.000 0.000 0.000
0.500 0.000 0.500
0.000 0.500 0.500
0.500 0.500 0.000
```

## Properties
* energy relative to the lowest polymorph listed for this composition: 241 meV/atom
* ΔE_f: -135.0 meV per atom
* total DFT energy (no corrections): -11.09 eV/atom
* Fermi-level density of states: 0.825 states/eV per atom


# 3
A relaxed structure of TaMo2Ru. Source: the Alexandria database, functional PBE.

```
TaMo2Ru
1.0
2.796 0.000 0.000
0.000 4.423 0.000
-0.933 0.000 5.155
Ta Mo Ru
1 2 1
direct
0.000 0.000 0.000
0.524 0.000 0.495
0.751 0.500 0.264
0.250 0.500 0.762
```

## Properties
* energy relative to the lowest polymorph listed for this composition: 78 meV/atom
* ΔE_f: -45.9 meV per atom
* total DFT energy (no corrections): -10.74 eV/atom
* Fermi-level density of states: 0.838 states/eV per atom


# 4
A relaxed structure of TaMo3Ru. Source: the Alexandria database, functional PBE.

```
TaMo3Ru
1.0
4.685 0.000 0.000
0.000 4.685 0.000
0.000 0.000 4.685
Ta Mo Ru
1 3 1
direct
0.000 0.000 0.000
0.000 0.000 0.500
0.000 0.500 0.000
0.500 0.000 0.000
0.500 0.500 0.500
```

## Properties
* energy relative to the lowest polymorph listed for this composition: 568 meV/atom
* ΔE_f: 2108.5 meV per atom
* total DFT energy (no corrections): -8.62 eV/atom
* Fermi-level density of states: 1.036 states/eV per atom